LaAgGeTeS2: optimized geometry, PBE-GGA.

Summary:
- Crystal system: orthorhombic
- Spin magnetization: 0.00 μB per formula unit
- VASP energy: -4.736 eV per atom
- Volume: 26.70 Å³/atom

Unit cell a=4.084 b=13.418 c=11.692 alpha=90.00 beta=90.00 gamma=90.00
Space group Cmcm (No. 63)
Symmetry-distinct sites (fractional):
La  0.000  0.000  0.000 (multiplicity 4)
Ag  0.000  0.489  0.250 (multiplicity 4)
Ge  0.000  0.203  0.750 (multiplicity 4)
Te  0.000  0.133  0.250 (multiplicity 4)
S  0.000  0.369  0.084 (multiplicity 8)

LaAgGeSe3: optimized geometry, PBE-GGA.

Summary:
- Crystal system: orthorhombic
- Spin magnetization: 0.00 μB per formula unit
- VASP energy: -4.618 eV per atom
- Volume: 25.68 Å³/atom

Unit cell a=4.102 b=13.369 c=11.238 alpha=90.00 beta=90.00 gamma=90.00
Space group Cmcm (No. 63)
Symmetry-distinct sites (fractional):
La  0.000  0.000  0.000 (multiplicity 4)
Ag  0.000  0.479  0.250 (multiplicity 4)
Ge  0.000  0.228  0.750 (multiplicity 4)
Se  0.000  0.107  0.250 (multiplicity 4)
Se  0.000  0.348  0.077 (multiplicity 8)